The following is a PBE calculation of crystalline BaPuPd2 at its relaxed geometry, from Alexandria via LeMat-Bulk.

The structure in POSCAR format:
```
BaPuPd2
1.0
-0.749 4.261 -1.802
-3.893 0.850 -2.466
-4.400 3.345 3.647
Pu Pd Ba
1 2 1
Direct
0.000 0.000 0.000
0.716 0.716 0.851
0.284 0.284 0.149
0.500 0.500 0.500
```

Summary:
The volume comes out at 28.739 Å³ per atom. The calculation puts the mass density at 8.6 Mg/m³. Its density of states at the Fermi level is 12.0 states/eV/f.u. For the total DFT energy (no corrections), the calculation gives -28.047 eV/cell. Its calculated formation energy is -0.352 eV per atom. The crystal system is trigonal.

The following is a PBE calculation of crystalline AlReP2Cl at its relaxed geometry, from Alexandria via LeMat-Bulk.

The structure in POSCAR format:
```
AlReP2Cl
1.0
4.566 0.000 0.000
0.000 4.566 0.000
0.000 0.000 5.304
P Cl Al Re
2 1 1 1
Direct
0.000 0.500 0.000
0.500 0.000 0.000
0.000 0.000 0.500
0.500 0.500 0.500
0.000 0.000 0.000
```

Summary:
The volume comes out at 22.117 Å³ per atom. The calculation puts the mass density at 4.7 Mg/m³. Its density of states at the Fermi level is 2.4 states/eV/f.u. Its uncorrected formation energy is 0.4123 eV per atom. For the total DFT energy (no corrections), the calculation gives -26.796 eV/cell. The crystal system is tetragonal.